Here is K3La2PtO6 after structural relaxation from Alexandria. Energies are from PBE.

- Energy relative to the elements, uncorrected: -1.9384 eV per atom
- Crystal system: monoclinic
- Spin magnetization: 1.000 μB/f.u.
- E: -6.02 eV per atom

Cell: 6.1469 10.7291 6.5747 Å, 90.00 107.35 90.00°
Space group C2/m (No. 12)
One atom of each set of equivalent atoms:
K: 0.0000 0.0000 0.0000 (multiplicity 2)
K: 0.0000 0.3429 0.0000 (multiplicity 4)
La: 0.0000 0.1694 0.5000 (multiplicity 4)
Pt: 0.0000 0.5000 0.5000 (multiplicity 2)
O: 0.2313 0.3368 0.7031 (multiplicity 8)
O: 0.2379 0.5000 0.3221 (multiplicity 4)


Here is K4LaPu3O12 after structural relaxation from Alexandria. Energies are from PBE.

- Energy relative to the elements, uncorrected: -2.5693 eV per atom
- Crystal system: cubic
- Spin magnetization: 7.000 μB/f.u.
- E: -8.16 eV per atom

Cell: 8.6843 8.6843 8.6843 Å, 90.00 90.00 90.00°
Space group Im-3m (No. 229)
One atom of each set of equivalent atoms:
K: 0.2500 0.2500 0.2500 (multiplicity 8)
La: 0.0000 0.0000 0.0000 (multiplicity 2)
Pu: 0.0000 0.0000 0.5000 (multiplicity 6)
O: 0.0000 0.0000 0.2717 (multiplicity 12)
O: 0.0000 0.2500 0.5000 (multiplicity 12)


Here is K4La3PuO8 after structural relaxation from Alexandria. Energies are from PBE.

- Energy relative to the elements, uncorrected: -2.5771 eV per atom
- Crystal system: trigonal
- Spin magnetization: 5.000 μB/f.u.
- E: -7.15 eV per atom

Cell: 7.3909 7.3909 18.8663 Å, 90.00 90.00 120.00°
Space group R-3m (No. 166, hexagonal axes)
One atom of each set of equivalent atoms:
K: 0.0000 0.0000 0.0000 (multiplicity 3)
K: 0.0000 0.5000 0.0000 (multiplicity 9)
La: 0.0000 0.5000 0.5000 (multiplicity 9)
Pu: 0.0000 0.0000 0.5000 (multiplicity 3)
O: 0.0000 0.0000 0.2303 (multiplicity 6)
O: 0.0087 0.5044 0.2300 (multiplicity 18)


Here is KLaPu2O8 after structural relaxation from Alexandria. Energies are from PBE.

- Energy relative to the elements, uncorrected: -2.4817 eV per atom
- Crystal system: tetragonal
- Spin magnetization: 4.000 μB/f.u.
- E: -8.68 eV per atom

Cell: 5.5874 5.5874 10.4617 Å, 90.00 90.00 90.00°
Space group I-4m2 (No. 119)
One atom of each set of equivalent atoms:
K: 0.0000 0.0000 0.0000 (multiplicity 2)
La: 0.0000 0.5000 0.7500 (multiplicity 2)
Pu: 0.0000 0.0000 0.5000 (multiplicity 2)
Pu: 0.0000 0.5000 0.2500 (multiplicity 2)
O: 0.2104 0.2408 0.3725 (multiplicity 16)